[1]
Crystalline Sc3Se at its relaxed geometry, computed with PBE.

Unit cell a=5.6091 b=5.6091 c=5.6091 alpha=144.05 beta=74.36 gamma=117.39
Closest atoms and distances in Å follow each position.
Element x y z (fractional)
Sc1 0.0000 0.0000 0.0000  2 Se 2.67
Sc2 0.2249 0.4245 0.8004  3 Se 2.82-3.12, 1 Sc 3.05
Sc3 0.6242 0.4245 0.1996  3 Se 2.82-3.12, 1 Sc 3.05
Se1 0.6516 0.1516 0.5000  6 Sc 2.67-2.82

Output
Polymorph energy (0 for the lowest one), eV per atom: 0.157
Calculated density, Mg/m³: 3.94
Crystal system: orthorhombic
Formation energy without anion corrections, kJ/mol of atoms: -62.3
Calculated volume, A^3/atom: 22.5

---

[2]
Crystalline Pr2Ni3P4 at its relaxed geometry, computed with PBE.

Unit cell a=3.9792 b=3.9792 c=9.3328 alpha=90.00 beta=90.00 gamma=90.00
Closest atoms and distances in Å follow each position.
Element x y z (fractional)
Pr1 0.0000 0.5000 0.2375  6 Ni 2.98-3.16, 8 P 3.01-3.10
Pr2 0.5000 0.0000 0.7625  6 Ni 2.98-3.16, 8 P 3.01-3.10
Ni1 0.0000 0.0000 0.0000  4 P 2.29
Ni2 0.0000 0.0000 0.5000  4 P 2.30
Ni3 0.5000 0.5000 0.5000  4 P 2.30
P1 0.0000 0.5000 0.6233  4 Ni 2.30, 1 P 2.38
P2 0.0000 0.5000 0.8780  2 Ni 2.29, 1 P 2.38
P3 0.5000 0.0000 0.1220  2 Ni 2.29, 1 P 2.38
P4 0.5000 0.0000 0.3767  4 Ni 2.30, 1 P 2.38

Output
Calculated density, Mg/m³: 6.54
Crystal system: tetragonal
Calculated volume, A^3/atom: 16.4
DFT formation energy, eV per atom: -0.99

---

[3]
Crystalline Dy2CdCu2Pd5 at its relaxed geometry, computed with PBE.

Unit cell a=9.4252 b=9.4252 c=3.9478 alpha=90.00 beta=90.00 gamma=90.00
Closest atoms and distances in Å follow each position.
Element x y z (fractional)
Dy1 0.1753 0.3247 0.0000  3 Cu 2.72-2.84
Dy2 0.3247 0.8247 0.0000  3 Cu 2.72-2.84
Dy3 0.6753 0.1753 0.0000  3 Cu 2.72-2.84
Dy4 0.8247 0.6753 0.0000  3 Cu 2.72-2.84
Cd1 0.0000 0.0000 0.0000  8 Pd 2.86
Cd2 0.5000 0.5000 0.0000  8 Pd 2.86
Cu1 0.1209 0.6209 0.0000  6 Pd 2.55-2.59, 3 Dy 2.72-2.84
Cu2 0.3791 0.1209 0.0000  6 Pd 2.55-2.59, 3 Dy 2.72-2.84
Cu3 0.6209 0.8791 0.0000  6 Pd 2.55-2.59, 3 Dy 2.72-2.84
Cu4 0.8791 0.3791 0.0000  6 Pd 2.55-2.59, 3 Dy 2.72-2.84
Pd1 0.0000 0.5000 0.5000  4 Cu 2.55, 4 Pd 2.84
Pd2 0.0725 0.7929 0.5000  2 Cu 2.59, 1 Pd 2.84, 2 Cd 2.86
Pd3 0.2071 0.0725 0.5000  2 Cu 2.59, 1 Pd 2.84, 2 Cd 2.86
Pd4 0.2929 0.5725 0.5000  2 Cu 2.59, 1 Pd 2.84, 2 Cd 2.86
Pd5 0.4275 0.2929 0.5000  2 Cu 2.59, 1 Pd 2.84, 2 Cd 2.86
Pd6 0.5000 0.0000 0.5000  4 Cu 2.55, 4 Pd 2.84
Pd7 0.5725 0.7071 0.5000  2 Cu 2.59, 1 Pd 2.84, 2 Cd 2.86
Pd8 0.7071 0.4275 0.5000  2 Cu 2.59, 1 Pd 2.84, 2 Cd 2.86
Pd9 0.7929 0.9275 0.5000  2 Cu 2.59, 1 Pd 2.84, 2 Cd 2.86
Pd10 0.9275 0.2071 0.5000  2 Cu 2.59, 1 Pd 2.84, 2 Cd 2.86

Output
Calculated density, Mg/m³: 10.38
Crystal system: tetragonal
Calculated volume, A^3/atom: 17.5
DFT formation energy, eV per atom: -0.64

---

[4]
Crystalline Na2AlTlCl6 at its relaxed geometry, computed with PBE.

Unit cell a=7.5337 b=7.5337 c=7.5337 alpha=55.29 beta=55.29 gamma=55.29
Closest atoms and distances in Å follow each position.
Element x y z (fractional)
Na1 0.0000 0.0000 0.0000  6 Cl 2.77-2.94
Na2 0.4795 0.4795 0.4795  6 Cl 2.85-2.95
Al1 0.6753 0.6753 0.6753  6 Cl 2.35-2.38
Tl1 0.1955 0.1955 0.1955  3 Cl 3.05
Cl1 0.0251 0.4645 0.7391  1 Al 2.35
Cl2 0.3158 0.8512 0.6296  1 Al 2.38
Cl3 0.4645 0.7391 0.0251  1 Al 2.35
Cl4 0.6296 0.3158 0.8512  1 Al 2.38
Cl5 0.7391 0.0251 0.4645  1 Al 2.35
Cl6 0.8512 0.6296 0.3158  1 Al 2.38

Output
Calculated density, Mg/m³: 3.02
Crystal system: trigonal
Formation energy without anion corrections, kJ/mol of atoms: -145.8
Calculated volume, A^3/atom: 26.9

---

[5]
Crystalline Pr2PaIr2 at its relaxed geometry, computed with PBE.

Unit cell a=6.4654 b=6.4654 c=7.3614 alpha=99.57 beta=99.57 gamma=59.07
Closest atoms and distances in Å follow each position.
Element x y z (fractional)
Pr1 0.0350 0.2645 0.1437  4 Ir 3.10-3.23
Pr2 0.2645 0.0350 0.6437  4 Ir 3.10-3.23
Pr3 0.7355 0.9650 0.3563  4 Ir 3.10-3.23
Pr4 0.9650 0.7355 0.8563  4 Ir 3.10-3.23
Pa1 0.4186 0.5814 0.2500  4 Ir 2.65-2.70
Pa2 0.5814 0.4186 0.7500  4 Ir 2.65-2.70
Ir1 0.2070 0.5031 0.4885  2 Pa 2.65-2.70, 1 Ir 2.73
Ir2 0.4969 0.7930 0.0115  2 Pa 2.65-2.70, 1 Ir 2.73
Ir3 0.5031 0.2070 0.9885  2 Pa 2.65-2.70, 1 Ir 2.73
Ir4 0.7930 0.4969 0.5115  2 Pa 2.65-2.70, 1 Ir 2.73

Output
Calculated density, Mg/m³: 11.50
Crystal system: monoclinic
Calculated volume, A^3/atom: 25.9
DFT formation energy, eV per atom: -0.69

---

[6]
Crystalline MgRuRh2 at its relaxed geometry, computed with PBE.

Unit cell a=5.4676 b=5.4676 c=5.4676 alpha=150.08 beta=131.69 gamma=57.87
Closest atoms and distances in Å follow each position.
Element x y z (fractional)
Mg1 0.0000 0.0000 0.0000  6 Rh 2.65-2.92, 2 Mg 2.82
Ru1 0.7269 0.2269 0.5000  6 Rh 2.56-2.67, 2 Ru 2.82
Rh1 0.2676 0.7676 0.5000  4 Rh 2.66-2.82, 4 Ru 2.67, 2 Mg 2.92
Rh2 0.5034 0.5034 0.0000  2 Ru 2.56, 4 Mg 2.65, 4 Rh 2.66-2.82

Output
Calculated density, Mg/m³: 9.10
Crystal system: orthorhombic
Calculated volume, A^3/atom: 15.1
DFT formation energy, eV per atom: -0.01